[1]
The following is a DFT calculation (GGA-PBE) of a relaxed structure of Ca2SmGe2.

## Properties
final energy	-20.8	eV/f.u.

a b c (Å): 6.736 6.736 10.708
angles (deg): 119.75 119.75 41.87
Atoms (fractional coordinates):
Ca 0.021 0.021 0.181
Ca 0.191 0.191 0.587
Ca 0.809 0.809 0.413
Ca 0.979 0.979 0.819
Sm 0.300 0.300 0.161
Sm 0.700 0.700 0.839
Ge 0.363 0.363 0.927
Ge 0.444 0.444 0.577
Ge 0.556 0.556 0.423
Ge 0.637 0.637 0.073

---

[2]
The following is a DFT calculation (GGA-PBE) of a relaxed structure of CaSm2Ge.

## Properties
E above lowest polymorph	0	meV/atom
final energy	-17.2	eV/f.u.

a b c (Å): 4.119 4.119 29.452
angles (deg): 90.00 90.00 120.00
Atoms (fractional coordinates):
Ca 0.000 0.000 0.000
Ca 0.333 0.667 0.667
Ca 0.667 0.333 0.333
Sm 0.000 0.000 0.555
Sm 0.000 0.000 0.776
Sm 0.333 0.667 0.221
Sm 0.333 0.667 0.442
Sm 0.667 0.333 0.109
Sm 0.667 0.333 0.888
Ge 0.000 0.000 0.165
Ge 0.333 0.667 0.832
Ge 0.667 0.333 0.498

---

[3]
The following is a DFT calculation (GGA-PBE) of a relaxed structure of CaSm3Ge2.

## Properties
final energy	-28.4	eV/f.u.

a b c (Å): 9.072 9.072 9.383
angles (deg): 113.16 113.16 28.48
Atoms (fractional coordinates):
Ca 0.110 0.110 0.122
Ca 0.890 0.890 0.878
Sm 0.047 0.047 0.690
Sm 0.306 0.306 0.118
Sm 0.347 0.347 0.525
Sm 0.653 0.653 0.475
Sm 0.694 0.694 0.882
Sm 0.953 0.953 0.310
Ge 0.235 0.235 0.709
Ge 0.493 0.493 0.141
Ge 0.507 0.507 0.859
Ge 0.765 0.765 0.291

---

[4]
The following is a DFT calculation (GGA-PBE) of a relaxed structure of CaSmGe2.

## Properties
final energy	-18.3	eV/f.u.

a b c (Å): 3.360 3.360 8.411
angles (deg): 90.00 90.00 90.00
Atoms (fractional coordinates):
Ca 0.000 0.000 0.000
Sm 0.000 0.000 0.500
Ge 0.500 0.500 0.251
Ge 0.500 0.500 0.749